a:
Density functional theory data (PBE) for a geometry-optimized ThNiTe2 structure.

Computed properties:
**DOS(E_F)**: 3.35 states/eV/f.u.
**Magnetization**: 0.0 Bohr magnetons per cell
**Volume**: 27.14 Å³/atom

Cell: 3.668 3.668 9.556 Å, 78.94 78.94 60.00°
Fractional positions:
Te 0.114 0.114 0.658
Te 0.886 0.886 0.342
Th 0.000 0.000 0.000
Ni 0.500 0.500 0.500


b:
Density functional theory data (PBE) for a geometry-optimized ThNiTe2 structure.

Computed properties:
**DOS(E_F)**: 0.55 states/eV/f.u.
**Magnetization**: 0.0 Bohr magnetons per cell
**Volume**: 32.38 Å³/atom

Cell: 7.857 8.292 8.969 Å, 117.55 90.00 90.00°
Fractional positions:
Te 0.252 0.409 0.819
Te 0.752 0.091 0.181
Te 0.750 0.598 0.697
Te 0.748 0.591 0.181
Te 0.250 0.402 0.303
Te 0.248 0.909 0.819
Te 0.250 0.902 0.303
Te 0.750 0.098 0.697
Ni 0.250 0.563 0.627
Ni 0.250 0.063 0.627
Ni 0.750 0.437 0.373
Ni 0.750 0.937 0.373
Th 0.000 0.750 0.499
Th 0.500 0.250 0.499
Th 0.500 0.750 0.501
Th 0.000 0.250 0.501


What should be chosen as the least stable of them? Choose a.


a:
Density functional theory data (PBE) for a geometry-optimized TlNi2Te structure.

Computed properties:
**DOS(E_F)**: 3.00 states/eV/f.u.
**Magnetization**: 0.0 Bohr magnetons per cell
**Volume**: 18.36 Å³/atom

Cell: 5.794 5.794 5.794 Å, 141.92 141.92 54.94°
Fractional positions:
Te 0.500 0.500 0.000
Tl 0.750 0.250 0.500
Ni 0.000 0.000 0.000
Ni 0.250 0.750 0.500


b:
Density functional theory data (PBE) for a geometry-optimized TlNi2Te structure.

Computed properties:
**DOS(E_F)**: 5.47 states/eV/f.u.
**Magnetization**: 0.4 Bohr magnetons per cell
**Volume**: 19.07 Å³/atom

Cell: 4.760 4.760 4.760 Å, 60.00 60.00 60.00°
Each line ends with the local moment (μB).
Fractional positions:
Te 0.500 0.500 0.500  0.03
Ni 0.250 0.250 0.250  0.22
Ni 0.000 0.000 0.000  0.15
Tl 0.750 0.750 0.750  0.00


What should be chosen as the least stable of them? Choose b.


a:
Density functional theory data (PBE) for a geometry-optimized TlNi2Te structure.

Computed properties:
**DOS(E_F)**: 2.46 states/eV/f.u.
**Magnetization**: 0.0 Bohr magnetons per cell
**Volume**: 18.66 Å³/atom

Cell: 6.421 6.421 6.421 Å, 151.65 143.43 46.90°
Fractional positions:
Te 0.543 0.543 0.000
Tl 0.287 0.787 0.500
Ni 0.724 0.224 0.500
Ni 0.946 0.946 0.000


b:
Density functional theory data (PBE) for a geometry-optimized TlNi2Te structure.

Computed properties:
**DOS(E_F)**: 5.69 states/eV/f.u.
**Magnetization**: 0.0 Bohr magnetons per cell
**Volume**: 17.80 Å³/atom

Cell: 4.653 4.653 4.653 Å, 60.00 60.00 60.00°
Fractional positions:
Tl 0.500 0.500 0.500
Te 0.000 0.000 0.000
Ni 0.750 0.750 0.750
Ni 0.250 0.250 0.250


What should be chosen as the least stable of them? Choose b.


a:
Density functional theory data (PBE) for a geometry-optimized TlNi2Te structure.

Computed properties:
**DOS(E_F)**: 3.54 states/eV/f.u.
**Magnetization**: 0.0 Bohr magnetons per cell
**Volume**: 19.19 Å³/atom

Cell: 6.464 6.464 6.464 Å, 34.37 34.37 34.37°
Fractional positions:
Ni 0.509 0.509 0.509
Ni 0.991 0.991 0.991
Tl 0.750 0.750 0.750
Te 0.250 0.250 0.250


b:
Density functional theory data (PBE) for a geometry-optimized TlNi2Te structure.

Computed properties:
**DOS(E_F)**: 3.59 states/eV/f.u.
**Magnetization**: 0.0 Bohr magnetons per cell
**Volume**: 18.37 Å³/atom

Cell: 3.334 3.334 6.611 Å, 90.00 90.00 89.90°
Fractional positions:
Te 0.500 0.500 0.250
Ni 0.000 0.000 0.451
Ni 0.000 0.000 0.049
Tl 0.500 0.500 0.750


What should be chosen as the least stable of them? Choose b.


a:
Density functional theory data (PBE) for a geometry-optimized TlNi2Te structure.

Computed properties:
**DOS(E_F)**: 1.94 states/eV/f.u.
**Magnetization**: 0.0 Bohr magnetons per cell
**Volume**: 19.94 Å³/atom

Cell: 3.368 3.367 7.033 Å, 90.00 90.00 90.00°
Fractional positions:
Tl 0.500 0.500 0.839
Ni 0.000 0.000 0.040
Ni 0.500 0.500 0.232
Te 0.000 0.000 0.389


b:
Density functional theory data (PBE) for a geometry-optimized TlNi2Te structure.

Computed properties:
**DOS(E_F)**: 3.43 states/eV/f.u.
**Magnetization**: 0.0 Bohr magnetons per cell
**Volume**: 21.90 Å³/atom

Cell: 6.673 6.673 6.673 Å, 35.08 35.08 35.08°
Fractional positions:
Te 0.547 0.547 0.547
Ni 0.265 0.265 0.265
Ni 0.964 0.964 0.964
Tl 0.724 0.724 0.724


What should be chosen as the least stable of them? Choose a.


a:
Density functional theory data (PBE) for a geometry-optimized TlNi2Te structure.

Computed properties:
**DOS(E_F)**: 1.67 states/eV/f.u.
**Magnetization**: 0.0 Bohr magnetons per cell
**Volume**: 17.66 Å³/atom

Cell: 4.575 4.563 3.383 Å, 90.00 90.00 90.00°
Fractional positions:
Ni 0.500 0.500 0.000
Ni 0.000 0.000 0.000
Te 0.500 0.000 0.500
Tl 0.000 0.500 0.500


b:
Density functional theory data (PBE) for a geometry-optimized TlNi2Te structure.

Computed properties:
**DOS(E_F)**: 2.64 states/eV/f.u.
**Magnetization**: 0.0 Bohr magnetons per cell
**Volume**: 19.16 Å³/atom

Cell: 3.293 3.453 6.835 Å, 80.49 90.00 90.00°
Fractional positions:
Ni 0.000 0.814 0.061
Ni 0.000 0.686 0.439
Tl 0.500 0.750 0.750
Te 0.500 0.250 0.250


c:
Density functional theory data (PBE) for a geometry-optimized TlNi2Te structure.

Computed properties:
**DOS(E_F)**: 3.04 states/eV/f.u.
**Magnetization**: 0.0 Bohr magnetons per cell
**Volume**: 21.85 Å³/atom

Cell: 4.723 4.723 8.520 Å, 73.91 73.91 90.00°
Fractional positions:
Tl 0.750 0.250 0.500
Tl 0.000 0.000 0.000
Ni 0.550 0.125 0.250
Ni 0.200 0.625 0.250
Ni 0.875 0.800 0.750
Ni 0.375 0.450 0.750
Te 0.250 0.750 0.500
Te 0.500 0.500 0.000


d:
Density functional theory data (PBE) for a geometry-optimized TlNi2Te structure.

Computed properties:
**DOS(E_F)**: 3.01 states/eV/f.u.
**Magnetization**: 0.0 Bohr magnetons per cell
**Volume**: 18.52 Å³/atom

Cell: 3.912 3.529 5.655 Å, 71.61 90.00 90.00°
Fractional positions:
Tl 0.500 0.773 0.825
Ni 0.000 0.182 0.007
Ni 0.500 0.042 0.298
Te 0.000 0.503 0.370


What should be chosen as the least stable of them? Choose a.